Record 1
First-principles (PBE) data for a geometry-optimized Cs3Rb5Au structure, as listed in the Alexandria database.

Values from the calculation:
ΔH_f (0 K): 0.0023 eV/atom
electronic total energy: -21.3 eV for the cell shown

Cell: 11.1974 11.1974 15.5657 Å, 112.31 104.17 97.58°
With the nearest neighbours (Å) after each atom.
Positions (direct):
Cs (0.7183, 0.5442, 0.2625)  1 Au 3.83
Cs (0.8233, 0.8428, 0.6662)  1 Au 3.81
Cs (0.0000, 0.0000, 0.0000)  2 Au 4.06, 2 Rb 4.36
Cs (0.0000, 0.5000, 0.5000)  2 Au 3.96
Cs (0.2817, 0.4558, 0.7375)  1 Au 3.83
Cs (0.1767, 0.1572, 0.3338)  1 Au 3.81
Rb (0.8846, 0.4380, 0.7817)  1 Au 3.45
Rb (0.3148, 0.3148, 0.0000)  3 Cs 4.64-4.86, 4 Rb 4.73-4.92
Rb (0.7306, 0.2423, 0.9729)  1 Au 3.63
Rb (0.4920, 0.1444, 0.6364)  3 Rb 4.32-4.57, 1 Cs 4.47
Rb (0.5080, 0.8556, 0.3636)  3 Rb 4.32-4.57, 1 Cs 4.47
Rb (0.2694, 0.7577, 0.0271)  1 Au 3.63
Rb (0.3436, 0.8971, 0.7817)  1 Au 3.45
Rb (0.6852, 0.6852, 0.0000)  3 Cs 4.64-4.86, 4 Rb 4.73-4.92
Rb (0.1154, 0.5619, 0.2183)  1 Au 3.45
Rb (0.6564, 0.1029, 0.2183)  1 Au 3.45
Au (0.9221, 0.2923, 0.2144)  3 Rb 3.45-3.63, 2 Cs 3.81-3.83
Au (0.0779, 0.7077, 0.7856)  3 Rb 3.45-3.63, 2 Cs 3.81-3.83

***

Record 2
First-principles (PBE) data for a geometry-optimized Cs3Rb8Au structure, as listed in the Alexandria database.

Values from the calculation:
ΔH_f (0 K): -0.0320 eV/atom
electronic total energy: -27.9 eV for the cell shown

Cell: 10.0904 15.3018 15.3018 Å, 120.00 90.00 90.00°
With the nearest neighbours (Å) after each atom.
Positions (direct):
Cs (0.7516, 0.6927, 0.8464)  8 Rb 4.78-5.31
Cs (0.7516, 0.1536, 0.3073)  8 Rb 4.78-5.31
Cs (0.7516, 0.1536, 0.8464)  8 Rb 4.78-5.31
Cs (0.2516, 0.3073, 0.1536)  8 Rb 4.78-5.31
Cs (0.2516, 0.8464, 0.6927)  8 Rb 4.78-5.31
Cs (0.2516, 0.8464, 0.1536)  8 Rb 4.78-5.31
Rb (0.9859, 0.0548, 0.5274)  1 Au 3.74
Rb (0.9859, 0.4726, 0.9453)  1 Au 3.74
Rb (0.9859, 0.4726, 0.5274)  1 Au 3.74
Rb (0.4859, 0.9452, 0.4726)  1 Au 3.74
Rb (0.4859, 0.5274, 0.0547)  1 Au 3.74
Rb (0.4859, 0.5274, 0.4726)  1 Au 3.74
Rb (0.7741, 0.4527, 0.2263)  1 Au 3.65
Rb (0.7741, 0.7737, 0.5473)  1 Au 3.65
Rb (0.7741, 0.7737, 0.2263)  1 Au 3.65
Rb (0.2741, 0.5473, 0.7737)  1 Au 3.65
Rb (0.2741, 0.2263, 0.4527)  1 Au 3.65
Rb (0.2741, 0.2263, 0.7737)  1 Au 3.65
Rb (0.6898, 0.3333, 0.6667)  1 Au 3.59
Rb (0.1898, 0.6667, 0.3333)  1 Au 3.59
Rb (0.0028, 0.0000, 0.0000)  6 Cs 4.78-4.80, 2 Rb 5.05
Rb (0.5028, 0.0000, 0.0000)  6 Cs 4.78-4.80, 2 Rb 5.05
Au (0.0456, 0.3333, 0.6667)  7 Rb 3.59-3.74
Au (0.5456, 0.6667, 0.3333)  7 Rb 3.59-3.74